Density functional theory data (SCAN) for a crystal of InGaW2 relaxed with PBEsol.

```
InGaW2
1.0
4.508 0.000 0.000
2.254 3.904 0.000
2.254 1.301 3.681
Ga W In
1 2 1
Direct
0.000 0.000 0.000
0.750 0.750 0.750
0.250 0.250 0.250
0.500 0.500 0.500
```

Computed properties:
**Space-group type**: Fm-3m (225)
**DFT formation energy**: 847.4 meV per atom
**VASP energy**: -46.4298 eV/atom

---

Density functional theory data (SCAN) for a crystal of Y2InGa relaxed with PBEsol.

```
Y2InGa
1.0
5.120 0.000 0.000
2.560 4.434 0.000
2.560 1.478 4.180
Y In Ga
2 1 1
Direct
0.250 0.250 0.250
0.750 0.750 0.750
0.500 0.500 0.500
0.000 0.000 0.000
```

Computed properties:
**Space-group type**: Fm-3m (225)
**DFT formation energy**: -665.3 meV per atom
**VASP energy**: -27.0199 eV/atom

---

Density functional theory data (SCAN) for a crystal of Y3InGa relaxed with PBEsol.

```
Y3InGa
1.0
5.343 0.000 0.000
0.000 5.343 0.000
0.000 0.000 5.343
Y Ga In
3 1 1
Direct
0.500 0.000 0.000
0.000 0.500 0.000
0.000 0.000 0.500
0.000 0.000 0.000
0.500 0.500 0.500
```

Computed properties:
**Space-group type**: Pm-3m (221)
**DFT formation energy**: -247.9 meV per atom
**VASP energy**: -26.9002 eV/atom

---

Density functional theory data (SCAN) for a crystal of Zn2In2Ga relaxed with PBEsol.

```
Zn2In2Ga
1.0
-1.351 -3.124 2.489
5.911 -3.313 -0.951
2.660 3.184 5.441
In Ga Zn
4 2 4
Direct
0.500 0.175 0.675
0.500 0.825 0.325
0.500 0.325 0.175
0.500 0.675 0.825
0.000 0.500 0.500
0.000 0.000 0.000
0.000 0.369 0.869
0.000 0.869 0.631
0.000 0.131 0.369
0.000 0.631 0.131
```

Computed properties:
**Space-group type**: P4/mbm (127)
**DFT formation energy**: 125.8 meV per atom
**VASP energy**: -21.9042 eV/atom

---

Density functional theory data (SCAN) for a crystal of ZnInGa2 relaxed with PBEsol.

```
ZnInGa2
1.0
4.369 0.000 0.000
0.000 4.369 0.000
-2.184 -2.184 8.361
Ga In Zn
4 2 2
Direct
0.125 0.184 0.750
0.816 0.375 0.250
0.625 0.566 0.750
0.434 0.875 0.250
0.000 0.000 0.000
0.250 0.750 0.500
0.750 0.250 0.500
0.500 0.500 0.000
```

Computed properties:
**Space-group type**: I-42d (122)
**DFT formation energy**: 79.0 meV per atom
**VASP energy**: -19.8196 eV/atom

---

Density functional theory data (SCAN) for a crystal of ZrInGa3 relaxed with PBEsol.

```
ZrInGa3
1.0
-2.611 0.519 -4.192
-2.255 -4.339 0.867
-3.572 2.359 2.517
Ga In Zr
3 1 1
Direct
0.500 0.000 0.000
0.000 0.500 0.000
0.000 0.000 0.500
0.000 0.000 0.000
0.500 0.500 0.500
```

Computed properties:
**Space-group type**: Pm-3m (221)
**DFT formation energy**: 840.8 meV per atom
**VASP energy**: -21.7841 eV/atom

---

Density functional theory data (SCAN) for a crystal of GaIr relaxed with PBEsol.

```
GaIr
1.0
-1.649 2.525 0.161
-1.491 -1.125 2.373
2.044 1.216 1.861
Ir Ga
1 1
Direct
0.000 0.000 0.000
0.500 0.500 0.500
```

Computed properties:
**Space-group type**: Pm-3m (221)
**DFT formation energy**: -423.6 meV per atom
**VASP energy**: -44.1463 eV/atom

---

Density functional theory data (SCAN) for a crystal of Ga5Ir3 relaxed with PBEsol.

```
Ga5Ir3
1.0
-3.901 4.264 -0.551
-2.899 -2.061 4.588
7.747 8.196 8.577
Ga Ir
20 12
Direct
0.191 0.155 0.847
0.352 0.772 0.947
0.332 0.168 0.250
0.691 0.345 0.347
0.155 0.809 0.153
0.148 0.272 0.447
0.668 0.832 0.250
0.345 0.309 0.653
0.728 0.148 0.553
0.648 0.228 0.947
0.832 0.332 0.750
0.852 0.728 0.447
0.272 0.852 0.553
0.809 0.845 0.847
0.772 0.648 0.053
0.168 0.668 0.750
0.309 0.655 0.347
0.845 0.191 0.153
0.228 0.352 0.053
0.655 0.691 0.653
0.500 0.500 0.173
0.000 0.000 0.673
0.000 0.500 0.586
0.000 0.000 0.000
0.500 0.500 0.827
0.500 0.000 0.086
0.500 0.500 0.500
0.000 0.500 0.250
0.000 0.500 0.914
0.000 0.000 0.327
0.500 0.000 0.414
0.500 0.000 0.750
```

Computed properties:
**Space-group type**: P-4n2 (118)
**DFT formation energy**: -549.5 meV per atom
**VASP energy**: -37.4282 eV/atom